Compound: BaC8
Source: Alexandria
Functional: GGA-PBE
Structure: optimized geometry

Computed properties:
Raw total energy = -0.4605 Ry/atom
Symmetry = No. 139
Formation energy from the elements = 2.15 eV per atom

Unit cell a=7.0177 b=7.0177 c=7.0177 alpha=92.04 beta=92.04 gamma=158.26
With the nearest neighbours (Å) after each atom.
Fractional positions:
C: 0.4145 0.0000 0.4145  5 C 1.67-1.77
C: 0.2518 0.2518 0.5037  2 C 1.32
C: 0.5855 0.0000 0.5855  5 C 1.67-1.77
C: 0.0000 0.5855 0.5855  5 C 1.67-1.77
C: 0.2518 0.7482 0.0000  2 C 1.32
C: 0.7482 0.2518 0.0000  2 C 1.32
C: 0.7482 0.7482 0.4963  2 C 1.32
C: 0.0000 0.4145 0.4145  5 C 1.67-1.77
Ba: 0.0000 0.0000 0.0000  2 Ba 2.65